[1]
Below is a relaxed structure of Ho4Ga21Ni10, with properties calculated at the PBE-GGA level.

Cell lengths 10.646, 10.646, 15.292 Å; angles 56.40, 56.40, 22.29 degrees
Fractional positions:
Ga 0.541 0.541 0.132
Ga 0.459 0.459 0.868
Ga 0.800 0.800 0.503
Ga 0.117 0.117 0.946
Ga 0.298 0.298 0.002
Ga 0.249 0.249 0.205
Ga 0.614 0.614 0.796
Ga 0.627 0.627 0.304
Ga 0.399 0.399 0.500
Ga 0.066 0.066 0.703
Ga 0.702 0.702 0.998
Ga 0.993 0.993 0.592
Ga 0.200 0.200 0.497
Ga 0.883 0.883 0.054
Ga 0.500 0.500 0.000
Ga 0.373 0.373 0.696
Ga 0.601 0.601 0.500
Ga 0.386 0.386 0.204
Ga 0.751 0.751 0.795
Ga 0.007 0.007 0.408
Ga 0.934 0.934 0.297
Ho 0.121 0.121 0.166
Ho 0.771 0.771 0.324
Ho 0.879 0.879 0.834
Ho 0.229 0.229 0.676
Ni 0.134 0.134 0.394
Ni 0.250 0.250 0.884
Ni 0.653 0.653 0.610
Ni 0.977 0.977 0.106
Ni 0.866 0.866 0.606
Ni 0.750 0.750 0.116
Ni 0.502 0.502 0.316
Ni 0.023 0.023 0.894
Ni 0.498 0.498 0.684
Ni 0.347 0.347 0.390

## Properties
Space group: C2/m

=====

[2]
Below is a relaxed structure of HoGaNi4, with properties calculated at the PBE-GGA level.

Cell lengths 3.799, 5.916, 7.822 Å; angles 90.00, 104.06, 90.00 degrees
Fractional positions:
Ni 0.335 0.051 0.670
Ni 0.923 0.250 0.845
Ni 0.665 0.551 0.330
Ni 0.335 0.449 0.670
Ni 0.500 0.500 0.000
Ni 0.500 0.000 0.000
Ni 0.665 0.949 0.330
Ni 0.077 0.750 0.155
Ho 0.900 0.750 0.800
Ho 0.100 0.250 0.200
Ga 0.234 0.750 0.467
Ga 0.766 0.250 0.533

## Properties
Space group: Cmcm

=====

[3]
Below is a relaxed structure of HoGa2Ni4, with properties calculated at the PBE-GGA level.

Cell lengths 3.842, 7.216, 7.216 Å; angles 90.00, 90.00, 90.00 degrees
Fractional positions:
Ga 0.000 0.219 0.781
Ga 0.500 0.719 0.719
Ga 0.000 0.781 0.219
Ga 0.500 0.281 0.281
Ni 0.500 0.851 0.410
Ni 0.000 0.649 0.910
Ni 0.500 0.410 0.851
Ni 0.500 0.590 0.149
Ni 0.000 0.351 0.090
Ni 0.000 0.910 0.649
Ni 0.000 0.090 0.351
Ni 0.500 0.149 0.590
Ho 0.000 0.500 0.500
Ho 0.500 0.000 0.000

## Properties
Space group: P4_2/mnm
Distance to the lowest polymorph of the same formula (meV per atom): 0.0

=====

[4]
Below is a relaxed structure of HoGa4Ni, with properties calculated at the PBE-GGA level.

Cell lengths 5.060, 5.060, 9.688 Å; angles 90.00, 90.00, 90.00 degrees
Fractional positions:
Ga 0.000 0.745 0.799
Ga 0.255 0.000 0.201
Ga 0.245 0.500 0.299
Ga 0.000 0.255 0.799
Ga 0.745 0.000 0.201
Ga 0.500 0.245 0.701
Ga 0.500 0.755 0.701
Ga 0.755 0.500 0.299
Ni 0.500 0.500 0.500
Ni 0.000 0.000 0.000
Ho 0.000 0.000 0.500
Ho 0.500 0.500 0.000

## Properties
Space group: P4_2/nmc

=====

[5]
Below is a relaxed structure of HoGa4Ni2, with properties calculated at the PBE-GGA level.

Cell lengths 3.937, 7.609, 7.609 Å; angles 90.00, 90.00, 90.00 degrees
Fractional positions:
Ga 0.000 0.079 0.321
Ga 0.000 0.321 0.079
Ga 0.500 0.421 0.821
Ga 0.000 0.679 0.921
Ga 0.500 0.579 0.179
Ga 0.000 0.921 0.679
Ga 0.500 0.179 0.579
Ga 0.500 0.821 0.421
Ho 0.000 0.500 0.500
Ho 0.500 0.000 0.000
Ni 0.500 0.279 0.279
Ni 0.000 0.779 0.221
Ni 0.500 0.721 0.721
Ni 0.000 0.221 0.779

## Properties
Space group: P4_2/mnm
Distance to the lowest polymorph of the same formula (meV per atom): 102.0

=====

[6]
Below is a relaxed structure of Ho2Ga3Ni2, with properties calculated at the PBE-GGA level.

Cell lengths 4.047, 5.407, 6.769 Å; angles 114.15, 90.00, 111.98 degrees
Fractional positions:
Ho 0.856 0.712 0.221
Ho 0.144 0.288 0.779
Ga 0.634 0.267 0.444
Ga 0.500 0.000 0.000
Ga 0.366 0.733 0.556
Ni 0.134 0.269 0.208
Ni 0.866 0.731 0.792

## Properties
Space group: C2/m

=====

[7]
Below is a relaxed structure of HoGa3Ni, with properties calculated at the PBE-GGA level.

Cell lengths 4.059, 8.110, 10.550 Å; angles 90.00, 90.00, 90.00 degrees
Fractional positions:
Ni 0.250 0.098 0.646
Ni 0.750 0.902 0.354
Ni 0.750 0.402 0.146
Ni 0.250 0.598 0.854
Ho 0.750 0.808 0.014
Ho 0.750 0.308 0.486
Ho 0.250 0.192 0.986
Ho 0.250 0.692 0.514
Ga 0.250 0.860 0.218
Ga 0.250 0.561 0.085
Ga 0.750 0.114 0.198
Ga 0.750 0.614 0.302
Ga 0.250 0.061 0.415
Ga 0.750 0.140 0.782
Ga 0.250 0.386 0.698
Ga 0.250 0.886 0.802
Ga 0.750 0.939 0.585
Ga 0.750 0.640 0.718
Ga 0.250 0.360 0.282
Ga 0.750 0.439 0.915

## Properties
Space group: Pnma
Distance to the lowest polymorph of the same formula (meV per atom): 0.0

=====

[8]
Below is a relaxed structure of HoGaNi3, with properties calculated at the PBE-GGA level.

Cell lengths 4.544, 8.175, 8.175 Å; angles 146.60, 90.00, 90.00 degrees
Fractional positions:
Ni 0.750 0.995 0.532
Ni 0.000 0.000 0.000
Ni 0.250 0.532 0.995
Ni 0.500 0.000 0.000
Ni 0.750 0.468 0.005
Ni 0.250 0.005 0.468
Ho 0.750 0.588 0.412
Ho 0.250 0.412 0.588
Ga 0.250 0.138 0.862
Ga 0.750 0.862 0.138

## Properties
Space group: Cmcm

=====

no.,total energy (eV per formula unit)
1,-157.486
2,-32.754
3,-36.922
4,-22.760
5,-31.260
6,-34.021
7,-22.321
8,-25.453